Record 1
# GGA-PBE Ta3HRu, optimized geometry
data_Ta3HRu
_chemical_formula_sum 'Ta3 H1 Ru1'
_symmetry_space_group_name_H-M 'P 1'
_symmetry_Int_Tables_number 1
_symmetry_space_group_name_Hall 'P 1'
_cell_length_a 4.803
_cell_length_b 4.803
_cell_length_c 4.803
_cell_angle_alpha 90.00
_cell_angle_beta 90.00
_cell_angle_gamma 90.00
loop_
_atom_site_label
_atom_site_type_symbol
_atom_site_fract_x
_atom_site_fract_y
_atom_site_fract_z
Ta1 Ta 0.000 0.000 0.500
Ta2 Ta 0.000 0.500 0.000
Ta3 Ta 0.500 0.000 0.000
H1 H 0.500 0.500 0.500
Ru1 Ru 0.000 0.000 0.000
# total magnetic moment = 0.0 μB per cell
# energy above the lowest structure with this stoichiometry = 8.73 eV/f.u.
# VASP energy = -39.39 eV/f.u.
# space group = Pm-3m (221)

---

Record 2
# GGA-PBE InCuRh2, optimized geometry
data_InCuRh2
_chemical_formula_sum 'In1 Cu1 Rh2'
_symmetry_space_group_name_H-M 'P 1'
_symmetry_Int_Tables_number 1
_symmetry_space_group_name_Hall 'P 1'
_cell_length_a 3.002
_cell_length_b 4.420
_cell_length_c 4.640
_cell_angle_alpha 90.00
_cell_angle_beta 90.00
_cell_angle_gamma 90.00
loop_
_atom_site_label
_atom_site_type_symbol
_atom_site_fract_x
_atom_site_fract_y
_atom_site_fract_z
In1 In 0.000 0.000 0.000
Cu1 Cu 0.500 0.000 0.500
Rh1 Rh 0.000 0.500 0.500
Rh2 Rh 0.500 0.500 0.000
# total magnetic moment = 0.0 μB per cell
# VASP energy = -21.58 eV/f.u.
# space group = Pmmm (47)

---

Record 3
# GGA-PBE BiSbPd2, optimized geometry
data_BiSbPd2
_chemical_formula_sum 'Bi1 Sb1 Pd2'
_symmetry_space_group_name_H-M 'P 1'
_symmetry_Int_Tables_number 1
_symmetry_space_group_name_Hall 'P 1'
_cell_length_a 3.439
_cell_length_b 3.439
_cell_length_c 7.028
_cell_angle_alpha 90.00
_cell_angle_beta 90.00
_cell_angle_gamma 90.00
loop_
_atom_site_label
_atom_site_type_symbol
_atom_site_fract_x
_atom_site_fract_y
_atom_site_fract_z
Bi1 Bi 0.000 0.000 0.000
Sb1 Sb 0.000 0.000 0.500
Pd1 Pd 0.500 0.500 0.280
Pd2 Pd 0.500 0.500 0.720
# formation energy (no corrections) = -0.270 eV/atom
# total magnetic moment = 0.0 μB per cell
# VASP energy = -19.47 eV/f.u.
# space group = P4/mmm (123)

---

Record 4
# GGA-PBE PmPrGaCo, optimized geometry
data_PmPrGaCo
_chemical_formula_sum 'Pm4 Pr4 Ga4 Co4'
_symmetry_space_group_name_H-M 'P 1'
_symmetry_Int_Tables_number 1
_symmetry_space_group_name_Hall 'P 1'
_cell_length_a 7.224
_cell_length_b 7.224
_cell_length_c 7.224
_cell_angle_alpha 90.00
_cell_angle_beta 90.00
_cell_angle_gamma 90.00
loop_
_atom_site_label
_atom_site_type_symbol
_atom_site_fract_x
_atom_site_fract_y
_atom_site_fract_z
Pm1 Pm 0.000 0.000 0.000
Pm2 Pm 0.000 0.500 0.500
Pm3 Pm 0.500 0.000 0.500
Pm4 Pm 0.500 0.500 0.000
Pr1 Pr 0.000 0.000 0.500
Pr2 Pr 0.000 0.500 0.000
Pr3 Pr 0.500 0.000 0.000
Pr4 Pr 0.500 0.500 0.500
Ga1 Ga 0.250 0.250 0.250
Ga2 Ga 0.250 0.750 0.750
Ga3 Ga 0.750 0.250 0.750
Ga4 Ga 0.750 0.750 0.250
Co1 Co 0.250 0.250 0.750
Co2 Co 0.250 0.750 0.250
Co3 Co 0.750 0.250 0.250
Co4 Co 0.750 0.750 0.750
# total magnetic moment = 4.2 μB per cell
# energy above the lowest structure with this stoichiometry = 0.38 eV/f.u.
# VASP energy = -20.45 eV/f.u.
# space group = F-43m (216)

---

Q: What is the total magnetic moment in the third record?
A: 0.0 μB per cell

---

Q: VASP energy of number 3 (BiSbPd2)?
A: -19.47 eV/f.u.